[1]
This record from the Alexandria database describes CaNiP2W after structural relaxation. The functional is PBE.

E_form: -59 kJ per mole of atoms
SG: I-4m2

Unit cell a=6.357 b=6.357 c=6.357 alpha=144.20 beta=144.20 gamma=51.52
Sites, in units of the cell vectors:
Ca 0.000 0.000 0.000
Ni 0.750 0.250 0.500
P 0.364 0.364 0.000
P 0.636 0.636 0.000
W 0.250 0.750 0.500


[2]
This record from the Alexandria database describes Ca2ZnNi4P3 after structural relaxation. The functional is PBE.

E_form: -70 kJ per mole of atoms
SG: P-4m2

Unit cell a=3.969 b=3.969 c=9.426 alpha=90.00 beta=90.00 gamma=90.00
Sites, in units of the cell vectors:
Ca 0.000 0.500 0.246
Ca 0.500 0.000 0.754
Zn 0.000 0.000 0.500
Ni 0.000 0.000 0.000
Ni 0.000 0.500 0.635
Ni 0.500 0.000 0.365
Ni 0.500 0.500 0.000
P 0.000 0.500 0.872
P 0.500 0.000 0.128
P 0.500 0.500 0.500


[3]
This record from the Alexandria database describes CaPaNi4 after structural relaxation. The functional is PBE.

E_form: -24 kJ per mole of atoms
SG: F-43m

Unit cell a=5.052 b=5.052 c=5.052 alpha=60.00 beta=60.00 gamma=60.00
Sites, in units of the cell vectors:
Ca 0.000 0.000 0.000
Pa 0.750 0.750 0.750
Ni 0.375 0.375 0.375
Ni 0.375 0.375 0.875
Ni 0.375 0.875 0.375
Ni 0.875 0.375 0.375


[4]
This record from the Alexandria database describes CaPaNi2 after structural relaxation. The functional is PBE.

E_form: -24 kJ per mole of atoms
SG: P4/mmm

Unit cell a=3.421 b=3.421 c=6.998 alpha=90.00 beta=90.00 gamma=90.00
Sites, in units of the cell vectors:
Ca 0.000 0.000 0.000
Pa 0.000 0.000 0.500
Ni 0.500 0.500 0.312
Ni 0.500 0.500 0.688


[5]
This record from the Alexandria database describes CaPa2Ni9 after structural relaxation. The functional is PBE.

E_form: -31 kJ per mole of atoms
SG: R-3m

Unit cell a=8.645 b=8.645 c=8.645 alpha=33.18 beta=33.18 gamma=33.18
Sites, in units of the cell vectors:
Ca 0.000 0.000 0.000
Pa 0.139 0.139 0.139
Pa 0.861 0.861 0.861
Ni 0.082 0.584 0.584
Ni 0.333 0.333 0.333
Ni 0.416 0.416 0.918
Ni 0.416 0.918 0.416
Ni 0.500 0.500 0.500
Ni 0.584 0.082 0.584
Ni 0.584 0.584 0.082
Ni 0.667 0.667 0.667
Ni 0.918 0.416 0.416


[6]
This record from the Alexandria database describes CaPaNi2 after structural relaxation. The functional is PBE.

E_form: -12 kJ per mole of atoms
SG: R-3m

Unit cell a=7.415 b=7.415 c=7.415 alpha=29.37 beta=29.37 gamma=29.37
Sites, in units of the cell vectors:
Ca 0.000 0.000 0.000
Pa 0.500 0.500 0.500
Ni 0.238 0.238 0.238
Ni 0.762 0.762 0.762


[7]
This record from the Alexandria database describes CaPaNi2 after structural relaxation. The functional is PBE.

E_form: -20 kJ per mole of atoms
SG: P2_1/m

Unit cell a=3.455 b=3.455 c=14.203 alpha=90.00 beta=90.02 gamma=90.00
Sites, in units of the cell vectors:
Ca 0.249 0.250 0.384
Ca 0.751 0.750 0.616
Pa 0.249 0.250 0.146
Pa 0.751 0.750 0.854
Ni 0.251 0.250 0.761
Ni 0.251 0.250 0.952
Ni 0.749 0.750 0.048
Ni 0.749 0.750 0.239


[8]
This record from the Alexandria database describes CaPaNiPd after structural relaxation. The functional is PBE.

E_form: -21 kJ per mole of atoms
SG: F-43m

Unit cell a=4.880 b=4.880 c=4.880 alpha=60.00 beta=60.00 gamma=60.00
Sites, in units of the cell vectors:
Ca 0.000 0.000 0.000
Pa 0.500 0.500 0.500
Ni 0.250 0.250 0.250
Pd 0.750 0.750 0.750


[9]
This record from the Alexandria database describes CaPa2NiS8 after structural relaxation. The functional is PBE.

ΔE_f (raw): -1.105 eV/atom
SG: P-3m1

Unit cell a=5.943 b=5.943 c=7.907 alpha=90.00 beta=90.00 gamma=120.00
Sites, in units of the cell vectors:
Ca 0.000 0.000 0.000
Pa 0.333 0.667 0.372
Pa 0.667 0.333 0.628
Ni 0.000 0.000 0.500
S 0.171 0.343 0.673
S 0.171 0.829 0.673
S 0.333 0.667 0.062
S 0.343 0.171 0.327
S 0.657 0.829 0.673
S 0.667 0.333 0.938
S 0.829 0.171 0.327
S 0.829 0.657 0.327


[10]
This record from the Alexandria database describes CaPaNiSe4 after structural relaxation. The functional is PBE.

ΔE_f (raw): -1.221 eV/atom
SG: P2_1/m

Unit cell a=6.776 b=5.910 c=8.264 alpha=90.00 beta=105.98 gamma=90.00
Sites, in units of the cell vectors:
Ca 0.238 0.250 0.440
Ca 0.762 0.750 0.560
Pa 0.236 0.250 0.939
Pa 0.764 0.750 0.061
Ni 0.248 0.750 0.163
Ni 0.752 0.250 0.837
Se 0.066 0.750 0.371
Se 0.071 0.750 0.885
Se 0.485 0.508 0.762
Se 0.485 0.992 0.762
Se 0.515 0.008 0.238
Se 0.515 0.492 0.238
Se 0.929 0.250 0.115
Se 0.934 0.250 0.629


[11]
This record from the Alexandria database describes CaNiPb after structural relaxation. The functional is PBE.

E_form: -22 kJ per mole of atoms
SG: P-6m2

Unit cell a=4.581 b=4.581 c=3.866 alpha=90.00 beta=90.00 gamma=120.00
Sites, in units of the cell vectors:
Ca 0.000 0.000 0.000
Ni 0.333 0.667 0.500
Pb 0.667 0.333 0.500


[12]
This record from the Alexandria database describes CaNiPb after structural relaxation. The functional is PBE.

E_form: -21 kJ per mole of atoms
SG: C2/m

Unit cell a=5.386 b=5.386 c=7.462 alpha=104.58 beta=104.58 gamma=46.81
Sites, in units of the cell vectors:
Ca 0.000 0.000 0.000
Ca 0.500 0.500 0.500
Ni 0.196 0.196 0.407
Ni 0.804 0.804 0.593
Pb 0.254 0.254 0.776
Pb 0.746 0.746 0.224


[13]
This record from the Alexandria database describes Ca2NiPb2 after structural relaxation. The functional is PBE.

E_form: -37 kJ per mole of atoms
SG: C2/m

Unit cell a=6.146 b=6.146 c=11.318 alpha=115.02 beta=115.02 gamma=44.31
Sites, in units of the cell vectors:
Ca 0.002 0.002 0.336
Ca 0.183 0.183 0.112
Ca 0.817 0.817 0.888
Ca 0.998 0.998 0.664
Ni 0.282 0.282 0.657
Ni 0.718 0.718 0.343
Pb 0.335 0.335 0.438
Pb 0.480 0.480 0.128
Pb 0.520 0.520 0.872
Pb 0.665 0.665 0.562


[14]
This record from the Alexandria database describes CaNiPb after structural relaxation. The functional is PBE.

E_form: -20 kJ per mole of atoms
SG: Cm

Unit cell a=6.466 b=6.466 c=6.296 alpha=99.88 beta=99.88 gamma=34.72
Sites, in units of the cell vectors:
Ca 0.000 0.000 0.000
Ca 0.241 0.241 0.573
Ni 0.371 0.371 0.203
Ni 0.578 0.578 0.326
Pb 0.727 0.727 0.059
Pb 0.960 0.960 0.492


[15]
This record from the Alexandria database describes Ca4NiPb8 after structural relaxation. The functional is PBE.

E_form: -29 kJ per mole of atoms
SG: Pmm2

Unit cell a=4.813 b=4.830 c=16.500 alpha=90.00 beta=90.00 gamma=90.00
Sites, in units of the cell vectors:
Ca 0.000 0.000 0.000
Ca 0.000 0.500 0.180
Ca 0.500 0.000 0.491
Ca 0.500 0.500 0.691
Ni 0.000 0.000 0.792
Pb 0.000 0.000 0.335
Pb 0.000 0.000 0.636
Pb 0.000 0.500 0.505
Pb 0.000 0.500 0.852
Pb 0.500 0.000 0.168
Pb 0.500 0.000 0.860
Pb 0.500 0.500 0.024
Pb 0.500 0.500 0.335


[16]
This record from the Alexandria database describes Ca3NiPb3 after structural relaxation. The functional is PBE.

E_form: -40 kJ per mole of atoms
SG: C2/m

Unit cell a=6.195 b=6.195 c=15.618 alpha=107.91 beta=107.91 gamma=44.39
Sites, in units of the cell vectors:
Ca 0.027 0.027 0.388
Ca 0.091 0.091 0.916
Ca 0.241 0.241 0.240
Ca 0.759 0.759 0.760
Ca 0.909 0.909 0.084
Ca 0.973 0.973 0.612
Ni 0.257 0.257 0.607
Ni 0.743 0.743 0.393
Pb 0.346 0.346 0.459
Pb 0.374 0.374 0.922
Pb 0.465 0.465 0.754
Pb 0.535 0.535 0.246
Pb 0.626 0.626 0.078
Pb 0.654 0.654 0.541


[17]
This record from the Alexandria database describes CaNiPb after structural relaxation. The functional is PBE.

E_form: -22 kJ per mole of atoms
SG: Cm

Unit cell a=5.303 b=5.303 c=7.640 alpha=114.66 beta=114.66 gamma=46.44
Sites, in units of the cell vectors:
Ca 0.000 0.000 0.000
Ca 0.237 0.237 0.532
Ni 0.731 0.731 0.209
Ni 0.956 0.956 0.548
Pb 0.425 0.425 0.278
Pb 0.625 0.625 0.791


[18]
This record from the Alexandria database describes CaNiPb after structural relaxation. The functional is PBE.

E_form: -11 kJ per mole of atoms
SG: I4mm

Unit cell a=6.015 b=6.015 c=6.015 alpha=145.85 beta=145.85 gamma=49.07
Sites, in units of the cell vectors:
Ca 0.000 0.000 0.000
Ni 0.680 0.680 0.000
Pb 0.289 0.289 0.000


[19]
This record from the Alexandria database describes CaNiPb4 after structural relaxation. The functional is PBE.

E_form: 32 kJ per mole of atoms
SG: F-43m

Unit cell a=6.400 b=6.400 c=6.400 alpha=60.00 beta=60.00 gamma=60.00
Sites, in units of the cell vectors:
Ca 0.000 0.000 0.000
Ni 0.250 0.250 0.250
Pb 0.126 0.625 0.625
Pb 0.625 0.126 0.625
Pb 0.625 0.625 0.126
Pb 0.625 0.625 0.625


[20]
This record from the Alexandria database describes CaNiPb after structural relaxation. The functional is PBE.

E_form: -25 kJ per mole of atoms
SG: C2/m

Unit cell a=5.922 b=5.922 c=7.430 alpha=125.46 beta=125.46 gamma=42.98
Sites, in units of the cell vectors:
Ca 0.068 0.068 0.329
Ca 0.932 0.932 0.671
Ni 0.370 0.370 0.322
Ni 0.630 0.630 0.678
Pb 0.315 0.315 0.900
Pb 0.685 0.685 0.100


[21]
This record from the Alexandria database describes CaNiPb after structural relaxation. The functional is PBE.

E_form: -26 kJ per mole of atoms
SG: P2_1/c

Unit cell a=6.673 b=6.541 c=8.263 alpha=90.00 beta=125.85 gamma=90.00
Sites, in units of the cell vectors:
Ca 0.210 0.150 0.426
Ca 0.210 0.350 0.926
Ca 0.790 0.650 0.074
Ca 0.790 0.850 0.574
Ni 0.368 0.577 0.332
Ni 0.368 0.923 0.832
Ni 0.632 0.077 0.168
Ni 0.632 0.423 0.668
Pb 0.248 0.646 0.573
Pb 0.248 0.854 0.073
Pb 0.752 0.146 0.927
Pb 0.752 0.354 0.427


[22]
This record from the Alexandria database describes Ca2NiPb2 after structural relaxation. The functional is PBE.

E_form: -24 kJ per mole of atoms
SG: P4/mbm

Unit cell a=7.290 b=7.290 c=5.017 alpha=90.00 beta=90.00 gamma=90.00
Sites, in units of the cell vectors:
Ca 0.165 0.335 0.000
Ca 0.335 0.835 0.000
Ca 0.665 0.165 0.000
Ca 0.835 0.665 0.000
Ni 0.000 0.000 0.500
Ni 0.500 0.500 0.500
Pb 0.152 0.652 0.500
Pb 0.348 0.152 0.500
Pb 0.652 0.848 0.500
Pb 0.848 0.348 0.500


[23]
This record from the Alexandria database describes CaNiPb after structural relaxation. The functional is PBE.

E_form: -24 kJ per mole of atoms
SG: Imm2

Unit cell a=5.914 b=5.914 c=5.914 alpha=133.55 beta=100.48 gamma=97.42
Sites, in units of the cell vectors:
Ca 0.000 0.000 0.000
Ca 0.577 0.077 0.500
Ni 0.042 0.711 0.331
Ni 0.380 0.711 0.669
Pb 0.167 0.380 0.787
Pb 0.594 0.380 0.213